(1)
VASP calculation (PBE) on an optimized crystal structure of TaInCuHg.

Space-group type: F-43m
Raw total energy: -16.37 eV per cell
Offset from the most stable computed form: 0.000 eV per atom

```
data_TaInCuHg
_symmetry_space_group_name_H-M 'P 1'
_symmetry_Int_Tables_number 1
_cell_length_a 4.736
_cell_length_b 4.736
_cell_length_c 4.736
_cell_angle_alpha 60.00
_cell_angle_beta 60.00
_cell_angle_gamma 60.00
loop_
_symmetry_equiv_pos_as_xyz
'x,y,z'
loop_
_atom_site_label
_atom_site_type_symbol
_atom_site_fract_x
_atom_site_fract_y
_atom_site_fract_z
In1 In 0.000 0.000 0.000
Ta1 Ta 0.250 0.250 0.250
Cu1 Cu 0.750 0.750 0.750
Hg1 Hg 0.500 0.500 0.500
```

=====

(2)
VASP calculation (PBE) on an optimized crystal structure of InCuTcHg.

Space-group type: F-43m
Raw total energy: -14.67 eV per cell
Offset from the most stable computed form: 0.155 eV per atom

```
data_InCuTcHg
_symmetry_space_group_name_H-M 'P 1'
_symmetry_Int_Tables_number 1
_cell_length_a 4.641
_cell_length_b 4.641
_cell_length_c 4.641
_cell_angle_alpha 60.00
_cell_angle_beta 60.00
_cell_angle_gamma 60.00
loop_
_symmetry_equiv_pos_as_xyz
'x,y,z'
loop_
_atom_site_label
_atom_site_type_symbol
_atom_site_fract_x
_atom_site_fract_y
_atom_site_fract_z
Tc1 Tc 0.500 0.500 0.500
Hg1 Hg 0.250 0.250 0.250
Cu1 Cu 0.750 0.750 0.750
In1 In 0.000 0.000 0.000
```

=====

(3)
VASP calculation (PBE) on an optimized crystal structure of InCuTcHg.

Space-group type: F-43m
Raw total energy: -15.29 eV per cell
Offset from the most stable computed form: 0.000 eV per atom

```
data_InCuTcHg
_symmetry_space_group_name_H-M 'P 1'
_symmetry_Int_Tables_number 1
_cell_length_a 4.620
_cell_length_b 4.620
_cell_length_c 4.620
_cell_angle_alpha 60.00
_cell_angle_beta 60.00
_cell_angle_gamma 60.00
loop_
_symmetry_equiv_pos_as_xyz
'x,y,z'
loop_
_atom_site_label
_atom_site_type_symbol
_atom_site_fract_x
_atom_site_fract_y
_atom_site_fract_z
Tc1 Tc 0.250 0.250 0.250
In1 In 0.000 0.000 0.000
Cu1 Cu 0.750 0.750 0.750
Hg1 Hg 0.500 0.500 0.500
```

=====

Question: Among the records above, which one has the lowest raw total energy?
Answer: TaInCuHg

=====

Question: Which formula does entry 1 have?
Answer: TaInCuHg

=====

Question: offset from the most stable computed form of number 3 (InCuTcHg)?
Answer: 0.000 eV per atom

=====

Question: Which of these has the highest raw total energy?
Answer: number 2